# H4PtBr2, optimized geometry, DFT PBE
# calculated total energy	-2.86	eV per atom
data_H4PtBr2
_symmetry_space_group_name_H-M 'I 4/m m m'
_symmetry_Int_Tables_number 139
_symmetry_space_group_name_Hall '-I 4 2'
_cell_length_a 3.900
_cell_length_b 3.900
_cell_length_c 11.396
_cell_angle_alpha 90.00
_cell_angle_beta 90.00
_cell_angle_gamma 90.00
loop_
_atom_site_label
_atom_site_type_symbol
_atom_site_fract_x
_atom_site_fract_y
_atom_site_fract_z
H1 H 0.000 0.000 0.174
H2 H 0.000 0.500 0.000
Pt1 Pt 0.000 0.000 0.000
Br1 Br 0.000 0.000 0.312


# H5PtBr2, optimized geometry, DFT PBE
# calculated total energy	-3.30	eV per atom
data_H5PtBr2
_symmetry_space_group_name_H-M 'C 1 m 1'
_symmetry_Int_Tables_number 8
_symmetry_space_group_name_Hall 'C -2y'
_cell_length_a 8.802
_cell_length_b 8.102
_cell_length_c 4.696
_cell_angle_alpha 90.00
_cell_angle_beta 106.83
_cell_angle_gamma 90.00
loop_
_atom_site_label
_atom_site_type_symbol
_atom_site_fract_x
_atom_site_fract_y
_atom_site_fract_z
H1 H 0.000 0.000 0.000
H2 H 0.004 0.000 0.832
H3 H 0.238 0.119 0.774
H4 H 0.410 0.000 0.128
Pt1 Pt 0.226 0.000 0.044
Br1 Br 0.237 0.246 0.380


# HPtBr, optimized geometry, DFT PBE
# E above lowest polymorph	0	meV/atom
# calculated total energy	-3.81	eV per atom
data_HPtBr
_symmetry_space_group_name_H-M 'P n m a'
_symmetry_Int_Tables_number 62
_symmetry_space_group_name_Hall '-P 2ac 2n'
_cell_length_a 8.690
_cell_length_b 3.741
_cell_length_c 6.504
_cell_angle_alpha 90.00
_cell_angle_beta 90.00
_cell_angle_gamma 90.00
loop_
_atom_site_label
_atom_site_type_symbol
_atom_site_fract_x
_atom_site_fract_y
_atom_site_fract_z
H1 H 0.034 0.250 0.248
Pt1 Pt 0.102 0.250 0.467
Br1 Br 0.203 0.250 0.869


# HPtBr2, optimized geometry, DFT PBE
# E above lowest polymorph	0	meV/atom
# calculated total energy	-2.67	eV per atom
data_HPtBr2
_symmetry_space_group_name_H-M 'I -4 2 d'
_symmetry_Int_Tables_number 122
_symmetry_space_group_name_Hall 'I -4 2bw'
_cell_length_a 5.534
_cell_length_b 5.534
_cell_length_c 10.346
_cell_angle_alpha 90.00
_cell_angle_beta 90.00
_cell_angle_gamma 90.00
loop_
_atom_site_label
_atom_site_type_symbol
_atom_site_fract_x
_atom_site_fract_y
_atom_site_fract_z
H1 H 0.000 0.000 0.000
Pt1 Pt 0.000 0.000 0.500
Br1 Br 0.196 0.250 0.125


# HPt2Br, optimized geometry, DFT PBE
# E above lowest polymorph	0	meV/atom
# calculated total energy	-3.89	eV per atom
data_HPt2Br
_symmetry_space_group_name_H-M 'I -4 2 d'
_symmetry_Int_Tables_number 122
_symmetry_space_group_name_Hall 'I -4 2bw'
_cell_length_a 5.074
_cell_length_b 5.074
_cell_length_c 9.800
_cell_angle_alpha 90.00
_cell_angle_beta 90.00
_cell_angle_gamma 90.00
loop_
_atom_site_label
_atom_site_type_symbol
_atom_site_fract_x
_atom_site_fract_y
_atom_site_fract_z
H1 H 0.000 0.000 0.000
Pt1 Pt 0.129 0.250 0.125
Br1 Br 0.000 0.000 0.500


# HPtBr2, optimized geometry, DFT PBE
# E above lowest polymorph	109	meV/atom
# calculated total energy	-2.56	eV per atom
data_HPtBr2
_symmetry_space_group_name_H-M 'R -3 m'
_symmetry_Int_Tables_number 166
_symmetry_space_group_name_Hall '-R 3 2"'
_cell_length_a 3.3742
_cell_length_b 3.3742
_cell_length_c 22.4392
_cell_angle_alpha 90.00
_cell_angle_beta 90.00
_cell_angle_gamma 120.00
loop_
_atom_site_label
_atom_site_type_symbol
_atom_site_fract_x
_atom_site_fract_y
_atom_site_fract_z
H1 H 0.0000 0.0000 0.0000
Pt1 Pt 0.0000 0.0000 0.5000
Br1 Br 0.0000 0.0000 0.3937


# H4PtBr, optimized geometry, DFT PBE
# calculated total energy	-3.37	eV per atom
data_H4PtBr
_symmetry_space_group_name_H-M 'P -1'
_symmetry_Int_Tables_number 2
_symmetry_space_group_name_Hall '-P 1'
_cell_length_a 2.688
_cell_length_b 4.565
_cell_length_c 6.770
_cell_angle_alpha 77.81
_cell_angle_beta 81.77
_cell_angle_gamma 77.06
loop_
_atom_site_label
_atom_site_type_symbol
_atom_site_fract_x
_atom_site_fract_y
_atom_site_fract_z
H1 H 0.002 0.268 0.231
H2 H 0.394 0.704 0.079
Pt1 Pt 0.000 0.500 0.000
Br1 Br 0.000 0.000 0.500


# HPtBr2, optimized geometry, DFT PBE
# E above lowest polymorph	451	meV/atom
# calculated total energy	-2.22	eV per atom
data_HPtBr2
_symmetry_space_group_name_H-M 'F m -3 m'
_symmetry_Int_Tables_number 225
_symmetry_space_group_name_Hall '-F 4 2 3'
_cell_length_a 6.648
_cell_length_b 6.648
_cell_length_c 6.648
_cell_angle_alpha 90.00
_cell_angle_beta 90.00
_cell_angle_gamma 90.00
loop_
_atom_site_label
_atom_site_type_symbol
_atom_site_fract_x
_atom_site_fract_y
_atom_site_fract_z
H1 H 0.000 0.000 0.000
Pt1 Pt 0.000 0.000 0.500
Br1 Br 0.250 0.250 0.250


# H2PtBr4, optimized geometry, DFT PBE
# calculated total energy	-2.97	eV per atom
data_H2PtBr4
_symmetry_space_group_name_H-M 'P -1'
_symmetry_Int_Tables_number 2
_symmetry_space_group_name_Hall '-P 1'
_cell_length_a 5.176
_cell_length_b 5.480
_cell_length_c 7.556
_cell_angle_alpha 73.69
_cell_angle_beta 76.50
_cell_angle_gamma 89.33
loop_
_atom_site_label
_atom_site_type_symbol
_atom_site_fract_x
_atom_site_fract_y
_atom_site_fract_z
H1 H 0.022 0.414 0.231
Pt1 Pt 0.000 0.000 0.000
Br1 Br 0.189 0.851 0.722
Br2 Br 0.228 0.674 0.194


# HPtBr, optimized geometry, DFT PBE
# E above lowest polymorph	189	meV/atom
# calculated total energy	-3.62	eV per atom
data_HPtBr
_symmetry_space_group_name_H-M 'I m m a'
_symmetry_Int_Tables_number 74
_symmetry_space_group_name_Hall '-I 2b 2'
_cell_length_a 5.459
_cell_length_b 7.391
_cell_length_c 5.666
_cell_angle_alpha 90.00
_cell_angle_beta 90.00
_cell_angle_gamma 90.00
loop_
_atom_site_label
_atom_site_type_symbol
_atom_site_fract_x
_atom_site_fract_y
_atom_site_fract_z
H1 H 0.000 0.250 0.057
Pt1 Pt 0.250 0.250 0.250
Br1 Br 0.000 0.000 0.500


# HPtBr3, optimized geometry, DFT PBE
# E above lowest polymorph	572	meV/atom
# calculated total energy	-1.81	eV per atom
data_HPtBr3
_symmetry_space_group_name_H-M 'P m -3 m'
_symmetry_Int_Tables_number 221
_symmetry_space_group_name_Hall '-P 4 2 3'
_cell_length_a 4.594
_cell_length_b 4.594
_cell_length_c 4.594
_cell_angle_alpha 90.00
_cell_angle_beta 90.00
_cell_angle_gamma 90.00
loop_
_atom_site_label
_atom_site_type_symbol
_atom_site_fract_x
_atom_site_fract_y
_atom_site_fract_z
H1 H 0.000 0.000 0.000
Pt1 Pt 0.500 0.500 0.500
Br1 Br 0.000 0.000 0.500


# H6PtBr12, optimized geometry, DFT PBE
# calculated total energy	-2.57	eV per atom
data_H6PtBr12
_symmetry_space_group_name_H-M 'R -3'
_symmetry_Int_Tables_number 148
_symmetry_space_group_name_Hall '-R 3'
_cell_length_a 19.0469
_cell_length_b 19.0469
_cell_length_c 5.7305
_cell_angle_alpha 90.00
_cell_angle_beta 90.00
_cell_angle_gamma 120.00
loop_
_atom_site_label
_atom_site_type_symbol
_atom_site_fract_x
_atom_site_fract_y
_atom_site_fract_z
H1 H 0.0899 0.2319 0.2288
Pt1 Pt 0.0000 0.0000 0.5000
Br1 Br 0.0154 0.1154 0.7441
Br2 Br 0.0486 0.4508 0.7720


# HPtSeBr2, optimized geometry, DFT PBE
# E above lowest polymorph	0	meV/atom
# calculated total energy	-2.65	eV per atom
data_HPtSeBr2
_symmetry_space_group_name_H-M 'P 4/m m m'
_symmetry_Int_Tables_number 123
_symmetry_space_group_name_Hall '-P 4 2'
_cell_length_a 5.339
_cell_length_b 5.339
_cell_length_c 4.741
_cell_angle_alpha 90.00
_cell_angle_beta 90.00
_cell_angle_gamma 90.00
loop_
_atom_site_label
_atom_site_type_symbol
_atom_site_fract_x
_atom_site_fract_y
_atom_site_fract_z
H1 H 0.000 0.000 0.000
Pt1 Pt 0.500 0.500 0.500
Se1 Se 0.500 0.500 0.000
Br1 Br 0.000 0.500 0.500


# HPtSeBr2, optimized geometry, DFT PBE
# E above lowest polymorph	249	meV/atom
# calculated total energy	-2.40	eV per atom
data_HPtSeBr2
_symmetry_space_group_name_H-M 'P 4/m m m'
_symmetry_Int_Tables_number 123
_symmetry_space_group_name_Hall '-P 4 2'
_cell_length_a 5.231
_cell_length_b 5.231
_cell_length_c 3.366
_cell_angle_alpha 90.00
_cell_angle_beta 90.00
_cell_angle_gamma 90.00
loop_
_atom_site_label
_atom_site_type_symbol
_atom_site_fract_x
_atom_site_fract_y
_atom_site_fract_z
H1 H 0.000 0.000 0.000
Pt1 Pt 0.500 0.500 0.500
Se1 Se 0.000 0.000 0.500
Br1 Br 0.000 0.500 0.000


# H2PtSeBr, optimized geometry, DFT PBE
# calculated total energy	-3.13	eV per atom
data_H2PtSeBr
_symmetry_space_group_name_H-M 'P 4/m m m'
_symmetry_Int_Tables_number 123
_symmetry_space_group_name_Hall '-P 4 2'
_cell_length_a 3.566
_cell_length_b 3.566
_cell_length_c 7.783
_cell_angle_alpha 90.00
_cell_angle_beta 90.00
_cell_angle_gamma 90.00
loop_
_atom_site_label
_atom_site_type_symbol
_atom_site_fract_x
_atom_site_fract_y
_atom_site_fract_z
H1 H 0.000 0.500 0.000
Pt1 Pt 0.000 0.000 0.500
Se1 Se 0.500 0.500 0.500
Br1 Br 0.000 0.000 0.000


# SrHPt2Br, optimized geometry, DFT PBE
# calculated total energy	-4.22	eV per atom
data_SrHPt2Br
_symmetry_space_group_name_H-M 'P 4/m m m'
_symmetry_Int_Tables_number 123
_symmetry_space_group_name_Hall '-P 4 2'
_cell_length_a 4.000
_cell_length_b 4.000
_cell_length_c 6.022
_cell_angle_alpha 90.00
_cell_angle_beta 90.00
_cell_angle_gamma 90.00
loop_
_atom_site_label
_atom_site_type_symbol
_atom_site_fract_x
_atom_site_fract_y
_atom_site_fract_z
Sr1 Sr 0.000 0.000 0.000
H1 H 0.500 0.500 0.500
Pt1 Pt 0.000 0.500 0.500
Br1 Br 0.500 0.500 0.000


# TaH2PtBr, optimized geometry, DFT PBE
# calculated total energy	-4.81	eV per atom
data_TaH2PtBr
_symmetry_space_group_name_H-M 'P 4/m m m'
_symmetry_Int_Tables_number 123
_symmetry_space_group_name_Hall '-P 4 2'
_cell_length_a 3.814
_cell_length_b 3.814
_cell_length_c 5.185
_cell_angle_alpha 90.00
_cell_angle_beta 90.00
_cell_angle_gamma 90.00
loop_
_atom_site_label
_atom_site_type_symbol
_atom_site_fract_x
_atom_site_fract_y
_atom_site_fract_z
Ta1 Ta 0.000 0.000 0.000
H1 H 0.000 0.500 0.000
Pt1 Pt 0.000 0.000 0.500
Br1 Br 0.500 0.500 0.500


# Tl2HPtBr, optimized geometry, DFT PBE
# calculated total energy	-3.47	eV per atom
data_Tl2HPtBr
_symmetry_space_group_name_H-M 'P 4/m m m'
_symmetry_Int_Tables_number 123
_symmetry_space_group_name_Hall '-P 4 2'
_cell_length_a 5.505
_cell_length_b 5.505
_cell_length_c 3.716
_cell_angle_alpha 90.00
_cell_angle_beta 90.00
_cell_angle_gamma 90.00
loop_
_atom_site_label
_atom_site_type_symbol
_atom_site_fract_x
_atom_site_fract_y
_atom_site_fract_z
Tl1 Tl 0.000 0.500 0.000
H1 H 0.000 0.000 0.500
Pt1 Pt 0.000 0.000 0.000
Br1 Br 0.500 0.500 0.500


# Pu2HBr3, optimized geometry, DFT PBE
# calculated total energy	-7.31	eV per atom
data_Pu2HBr3
_symmetry_space_group_name_H-M 'C 1 2/m 1'
_symmetry_Int_Tables_number 12
_symmetry_space_group_name_Hall '-C 2y'
_cell_length_a 16.539
_cell_length_b 4.066
_cell_length_c 10.971
_cell_angle_alpha 90.00
_cell_angle_beta 118.32
_cell_angle_gamma 90.00
loop_
_atom_site_label
_atom_site_type_symbol
_atom_site_fract_x
_atom_site_fract_y
_atom_site_fract_z
Pu1 Pu 0.086 0.000 0.455
Pu2 Pu 0.141 0.500 0.799
H1 H 0.077 0.000 0.663
Br1 Br 0.048 0.500 0.237
Br2 Br 0.155 0.000 0.007
Br3 Br 0.229 0.500 0.620


# PuH2Br8, optimized geometry, DFT PBE
# calculated total energy	-3.74	eV per atom
data_PuH2Br8
_symmetry_space_group_name_H-M 'C 1 2/m 1'
_symmetry_Int_Tables_number 12
_symmetry_space_group_name_Hall '-C 2y'
_cell_length_a 13.143
_cell_length_b 9.943
_cell_length_c 6.576
_cell_angle_alpha 90.00
_cell_angle_beta 90.97
_cell_angle_gamma 90.00
loop_
_atom_site_label
_atom_site_type_symbol
_atom_site_fract_x
_atom_site_fract_y
_atom_site_fract_z
Pu1 Pu 0.000 0.000 0.000
H1 H 0.228 0.500 0.725
Br1 Br 0.085 0.188 0.232
Br2 Br 0.120 0.500 0.698
Br3 Br 0.162 0.000 0.768